# 1
First-principles (PBE) data for a relaxed structure of LaTaSi2Ru, as listed in Alexandria via LeMat-Bulk.

Cell lengths 4.1047, 4.1047, 11.1909 Å; angles 90.00, 90.00, 90.00 degrees
Last column: nearest neighbours and their distance in Å.
Space group I-4m2 (No. 119)
Unique sites:
La 0.0000 0.0000 0.0000 (multiplicity 2)  8 Si 3.17, 4 Ta 3.47, 4 Ru 3.47
Ta 0.0000 0.5000 0.7500 (multiplicity 2)  4 Si 2.56
Si 0.0000 0.0000 0.3866 (multiplicity 4)  1 Si 2.54, 2 Ta 2.56, 2 Ru 2.56
Ru 0.0000 0.5000 0.2500 (multiplicity 2)  4 Si 2.56

***

# 2
First-principles (PBE) data for a relaxed structure of LaSiTeRu2, as listed in Alexandria via LeMat-Bulk.

Cell lengths 4.8248, 4.8248, 5.2318 Å; angles 90.00, 90.00, 90.00 degrees
Last column: nearest neighbours and their distance in Å.
Space group P4/mmm (No. 123)
Unique sites:
La 0.0000 0.0000 0.0000 (multiplicity 1)  4 Si 3.41, 8 Ru 3.56
Si 0.5000 0.5000 0.0000 (multiplicity 1)  2 Te 2.62
Te 0.5000 0.5000 0.5000 (multiplicity 1)  4 Ru 2.41, 2 Si 2.62
Ru 0.0000 0.5000 0.5000 (multiplicity 2)  2 Te 2.41

***

# 3
First-principles (PBE) data for a relaxed structure of La2TlSiRu, as listed in Alexandria via LeMat-Bulk.

Cell lengths 5.5098, 5.5098, 4.6664 Å; angles 90.00, 90.00, 90.00 degrees
Last column: nearest neighbours and their distance in Å.
Space group P4/mmm (No. 123)
Unique sites:
La 0.0000 0.5000 0.0000 (multiplicity 2)  2 Ru 2.75
Tl 0.0000 0.0000 0.5000 (multiplicity 1)  8 La 3.61, 4 Si 3.90
Si 0.5000 0.5000 0.5000 (multiplicity 1)  2 Ru 2.33
Ru 0.5000 0.5000 0.0000 (multiplicity 1)  2 Si 2.33

***

# 4
First-principles (PBE) data for a relaxed structure of LaZn2SiRu, as listed in Alexandria via LeMat-Bulk.

Cell lengths 4.7987, 4.7987, 4.5432 Å; angles 90.00, 90.00, 90.00 degrees
Last column: nearest neighbours and their distance in Å.
Space group P4/mmm (No. 123)
Unique sites:
La 0.0000 0.0000 0.0000 (multiplicity 1)  8 Zn 3.30, 4 Si 3.39
Zn 0.0000 0.5000 0.5000 (multiplicity 2)  2 Ru 2.40
Si 0.5000 0.5000 0.0000 (multiplicity 1)  2 Ru 2.27
Ru 0.5000 0.5000 0.5000 (multiplicity 1)  2 Si 2.27, 4 Zn 2.40

***

# 5
First-principles (PBE) data for a relaxed structure of LaSm4Ru, as listed in Alexandria via LeMat-Bulk.

Cell lengths 17.5565, 7.6032, 6.1247 Å; angles 90.00, 110.40, 90.00 degrees
Last column: nearest neighbours and their distance in Å.
Space group C2/m (No. 12)
Unique sites:
La 0.2006 0.0000 0.2003 (multiplicity 4)  12 Sm 3.61-3.92
Sm 0.0000 0.2082 0.0000 (multiplicity 4)  2 Ru 2.72
Sm 0.1111 0.2564 0.6110 (multiplicity 8)  2 Ru 2.99-3.00
Sm 0.1680 0.5000 0.1679 (multiplicity 4)  2 Ru 3.18-3.19, 2 Sm 3.55
Ru 0.0003 0.5000 0.2584 (multiplicity 4)  6 Sm 2.72-3.00, 1 Ru 2.96

***

# 6
First-principles (PBE) data for a relaxed structure of La8SmRu2, as listed in Alexandria via LeMat-Bulk.

Cell lengths 12.8441, 8.6733, 7.4894 Å; angles 90.00, 111.04, 90.00 degrees
Last column: nearest neighbours and their distance in Å.
Space group C2/m (No. 12)
Unique sites:
La 0.1157 0.1975 0.3022 (multiplicity 8)  1 Ru 2.80
La 0.1231 0.5000 0.6913 (multiplicity 4)  1 Ru 2.69
La 0.1731 0.0000 0.8125 (multiplicity 4)  1 Ru 2.69
Sm 0.0000 0.5000 0.0000 (multiplicity 2)  2 Ru 3.10, 6 La 3.24-3.43
Ru 0.1933 0.5000 0.3936 (multiplicity 4)  4 La 2.69-2.80

***

# 7
First-principles (PBE) data for a relaxed structure of La2Sm3Ru2, as listed in Alexandria via LeMat-Bulk.

Cell lengths 12.3946, 3.9368, 9.0891 Å; angles 90.00, 114.66, 90.00 degrees
Last column: nearest neighbours and their distance in Å.
Space group C2/m (No. 12)
Unique sites:
La 0.1698 0.0000 0.3006 (multiplicity 4)  2 Ru 2.77
Sm 0.0000 0.5000 0.5000 (multiplicity 2)  4 Ru 3.11, 2 Sm 3.45
Sm 0.1204 0.5000 0.9180 (multiplicity 4)  3 Ru 2.90-3.06
Ru 0.1862 0.0000 0.7350 (multiplicity 4)  2 La 2.77, 3 Sm 2.90-3.06

***

# 8
First-principles (PBE) data for a relaxed structure of LaSmRu, as listed in Alexandria via LeMat-Bulk.

Cell lengths 3.5001, 3.5001, 13.7913 Å; angles 90.00, 90.00, 90.00 degrees
Last column: nearest neighbours and their distance in Å.
Space group I4mm (No. 107)
Unique sites:
La 0.0000 0.0000 0.0000 (multiplicity 2)  4 Ru 3.03
Sm 0.0000 0.0000 0.7530 (multiplicity 2)  4 Ru 2.98
Ru 0.0000 0.0000 0.3732 (multiplicity 2)  4 Sm 2.98, 4 La 3.03

energy relative to the lowest polymorph listed for this composition: 0.039 eV/atom

***

# 9
First-principles (PBE) data for a relaxed structure of La4SmRu, as listed in Alexandria via LeMat-Bulk.

Cell lengths 17.8696, 7.6612, 6.1436 Å; angles 90.00, 110.09, 90.00 degrees
Last column: nearest neighbours and their distance in Å.
Space group C2/m (No. 12)
Unique sites:
La 0.0000 0.2074 0.0000 (multiplicity 4)  2 Ru 2.73
La 0.1132 0.2543 0.6132 (multiplicity 8)  2 Ru 3.07
La 0.1728 0.5000 0.1727 (multiplicity 4)  2 Ru 3.29-3.30, 2 La 3.67
Sm 0.1994 0.0000 0.1998 (multiplicity 4)  12 La 3.67-3.92
Ru 0.9998 0.5000 0.2539 (multiplicity 4)  2 La 2.73, 1 Ru 3.02

***

# 10
First-principles (PBE) data for a relaxed structure of LaSm3Ru, as listed in Alexandria via LeMat-Bulk.

Cell lengths 12.0519, 8.6896, 8.4147 Å; angles 90.00, 133.49, 90.00 degrees
Last column: nearest neighbours and their distance in Å.
Space group C2/m (No. 12)
Unique sites:
La 0.0464 0.0000 0.3327 (multiplicity 4)  1 Ru 2.61
Sm 0.0504 0.5000 0.2522 (multiplicity 4)  1 Ru 2.73
Sm 0.2457 0.2986 0.7894 (multiplicity 8)  1 Ru 2.72
Ru 0.2445 0.0000 0.8850 (multiplicity 4)  1 La 2.61, 3 Sm 2.72-2.73

energy relative to the lowest polymorph listed for this composition: 0.000 eV/atom

***

# 11
First-principles (PBE) data for a relaxed structure of LaSmRu, as listed in Alexandria via LeMat-Bulk.

Cell lengths 6.9698, 6.9698, 6.9698 Å; angles 90.00, 90.00, 90.00 degrees
Last column: nearest neighbours and their distance in Å.
Space group F-43m (No. 216)
Unique sites:
La 0.0000 0.0000 0.0000 (multiplicity 4)  4 Ru 3.02
Sm 0.0000 0.0000 0.5000 (multiplicity 4)  4 Ru 3.02
Ru 0.2500 0.2500 0.2500 (multiplicity 4)  4 La 3.02, 4 Sm 3.02

energy relative to the lowest polymorph listed for this composition: 0.037 eV/atom

***

# 12
First-principles (PBE) data for a relaxed structure of La3SmRu2, as listed in Alexandria via LeMat-Bulk.

Cell lengths 16.7077, 4.8842, 8.5572 Å; angles 90.00, 100.27, 90.00 degrees
Last column: nearest neighbours and their distance in Å.
Space group C2/m (No. 12)
Unique sites:
La 0.0605 0.0000 0.1908 (multiplicity 4)  4 Ru 2.99-3.09
La 0.1854 0.5000 0.0578 (multiplicity 4)  4 Ru 2.98-3.11
La 0.1871 0.0000 0.5659 (multiplicity 4)  4 Ru 3.00-3.12
Sm 0.0615 0.5000 0.6832 (multiplicity 4)  4 Ru 3.00-3.04
Ru 0.1232 0.5000 0.3747 (multiplicity 4)  6 La 2.99-3.12, 2 Sm 3.00-3.04
Ru 0.1255 0.0000 0.8746 (multiplicity 4)  6 La 2.98-3.11, 2 Sm 3.03

***

| no. | volume (Å³ per cell) | raw total energy (eV/atom) |
| --- | --- | --- |
| 1 | 189 | -8.023 |
| 2 | 122 | -5.752 |
| 3 | 142 | -5.757 |
| 4 | 105 | -4.772 |
| 5 | 766 | -5.574 |
| 6 | 779 | -5.762 |
| 7 | 403 | -6.339 |
| 8 | 169 | -6.499 |
| 9 | 790 | -5.700 |
| 10 | 639 | -5.855 |
| 11 | 339 | -6.501 |
| 12 | 687 | -6.544 |